# KAcHgBi PBE-GGA optimized geometry
# Electronic total energy   -2.81 eV per atom
# ΔE_f   -10.62 kcal/mol of atoms
# DOS(E_F)   2.376 states/eV/f.u.
data_KAcHgBi
_chemical_formula_sum 'K1 Ac1 Hg1 Bi1'
_cell_length_a 5.835
_cell_length_b 5.835
_cell_length_c 5.835
_cell_angle_alpha 60.00
_cell_angle_beta 60.00
_cell_angle_gamma 60.00
_space_group_name_H-M_alt 'P 1'
_space_group_IT_number 1
_space_group_name_Hall 'P 1'
loop_
_atom_site_label
_atom_site_type_symbol
_atom_site_fract_x
_atom_site_fract_y
_atom_site_fract_z
Ac1 Ac 0.750 0.750 0.750
Bi1 Bi 0.000 0.000 0.000
K1 K 0.250 0.250 0.250
Hg1 Hg 0.500 0.500 0.500